Record 1
A plane-wave DFT calculation with PBE-GGA was carried out for Na3Pu2CoSe6 after structural relaxation.

As for the magnetization: 19.8 μB/cell. The total energy is -146.5 eV/cell. Its energy relative to the elements, uncorrected is -1.05 eV/atom.

It has space group C2/m (No. 12), with a = 6.905 Å, b = 11.980 Å, c = 7.367 Å, α = 90.00°, β = 108.33° and γ = 90.00°. The asymmetric unit holds Na at (0.000, 0.000, 0.000), Na at (0.000, 0.330, 0.000), Pu at (0.000, 0.166, 0.500), Co at (0.000, 0.500, 0.500), Se at (0.225, 0.348, 0.718) and Se at (0.230, 0.500, 0.284).

---

Record 2
A plane-wave DFT calculation with PBE-GGA was carried out for Rb2NaCo after structural relaxation.

The value obtained for the energy above the most stable polymorph in this dataset is 0 meV per atom. As for the magnetization: 7.9 μB/cell. The total energy is -28.7 eV/cell. As for the energy relative to the elements: 793 meV per atom.

It has space group I-42d (No. 122), with a = 12.677 Å, b = 12.677 Å, c = 5.807 Å, α = 90.00°, β = 90.00° and γ = 90.00°. The asymmetric unit holds Rb at (0.098, 0.250, 0.125), Na at (0.000, 0.000, 0.500) and Co at (0.000, 0.000, 0.000).

---

Record 3
A plane-wave DFT calculation with PBE-GGA was carried out for Rb2Na2Co after structural relaxation.

The value obtained for the energy above the most stable polymorph in this dataset is 83 meV per atom. As for the magnetization: 3.6 μB/cell. The total energy is -16.3 eV/cell. As for the energy relative to the elements: 703 meV per atom.

It has space group I4/mmm (No. 139), with a = 7.441 Å, b = 7.441 Å, c = 8.953 Å, α = 90.00°, β = 90.00° and γ = 90.00°. The asymmetric unit holds Rb at (0.000, 0.500, 0.250), Na at (0.000, 0.000, 0.176) and Co at (0.000, 0.000, 0.500).

---

Record 4
A plane-wave DFT calculation with PBE-GGA was carried out for RbNaCo3 after structural relaxation.

The value obtained for the energy above the most stable polymorph in this dataset is 0 meV per atom. As for the magnetization: 5.9 μB/cell. The total energy is -14.1 eV/cell. As for the energy relative to the elements: 1901 meV per atom.

It has space group Pm-3m (No. 221), with a = 5.058 Å, b = 5.058 Å, c = 5.058 Å, α = 90.00°, β = 90.00° and γ = 90.00°. The asymmetric unit holds Rb at (0.000, 0.000, 0.000), Na at (0.500, 0.500, 0.500) and Co at (0.000, 0.500, 0.500).

---

Record 5
A plane-wave DFT calculation with PBE-GGA was carried out for Rb2NaCo after structural relaxation.

The value obtained for the energy above the most stable polymorph in this dataset is 36 meV per atom. As for the magnetization: 7.6 μB/cell. The total energy is -28.2 eV/cell. As for the energy relative to the elements: 829 meV per atom.

It has space group Fm-3m (No. 225), with a = 8.948 Å, b = 8.948 Å, c = 8.948 Å, α = 90.00°, β = 90.00° and γ = 90.00°. The asymmetric unit holds Rb at (0.250, 0.250, 0.250), Na at (0.000, 0.000, 0.000) and Co at (0.000, 0.000, 0.500).

---

Record 6
A plane-wave DFT calculation with PBE-GGA was carried out for Rb3NaCo after structural relaxation.

The value obtained for the energy above the most stable polymorph in this dataset is 0 meV per atom. As for the magnetization: 1.2 μB/cell. The total energy is -7.9 eV/cell. As for the energy relative to the elements: 691 meV per atom.

It has space group Pm-3m (No. 221), with a = 6.804 Å, b = 6.804 Å, c = 6.804 Å, α = 90.00°, β = 90.00° and γ = 90.00°. The asymmetric unit holds Rb at (0.000, 0.000, 0.500), Na at (0.500, 0.500, 0.500) and Co at (0.000, 0.000, 0.000).